Entry 1:
Crystalline HfZrSn2Sb2 at its relaxed geometry, computed with GGA-PBE.

a = 4.0368 Å, b = 4.0368 Å, c = 8.8210 Å
α = 90.00°, β = 90.00°, γ = 90.00°
Space group P4mm (No. 99)
Symmetry-distinct sites (fractional):
Hf 0.0000 0.0000 0.0000 x1
Zr 0.5000 0.5000 0.4657 x1
Sn 0.0000 0.5000 0.7335 x2
Sb 0.0000 0.0000 0.3469 x1
Sb 0.5000 0.5000 0.1152 x1

Computed properties:
Final energy ... -6.204 eV/atom
Crystal system ... tetragonal

---

Entry 2:
Crystalline HoBeNi at its relaxed geometry, computed with GGA-PBE.

a = 6.1965 Å, b = 6.1965 Å, c = 6.1965 Å
α = 90.00°, β = 90.00°, γ = 90.00°
Space group F-43m (No. 216)
Symmetry-distinct sites (fractional):
Ho 0.0000 0.0000 0.0000 x4
Be 0.2500 0.2500 0.7500 x4
Ni 0.2500 0.2500 0.2500 x4

Computed properties:
Final energy ... -3.934 eV/atom
Distance to the lowest polymorph of the same formula ... 0.532 eV per atom
Crystal system ... cubic

---

Entry 3:
Crystalline Rb2AgHgF6 at its relaxed geometry, computed with GGA-PBE.

a = 6.1890 Å, b = 6.1890 Å, c = 15.1320 Å
α = 90.00°, β = 90.00°, γ = 120.00°
Space group R-3m (No. 166, hexagonal axes)
Symmetry-distinct sites (fractional):
Rb 0.0000 0.0000 0.2500 x6
Ag 0.0000 0.0000 0.0000 x3
Hg 0.0000 0.0000 0.5000 x3
F 0.0045 0.5022 0.7494 x18

Computed properties:
Final energy ... -3.501 eV/atom
Distance to the lowest polymorph of the same formula ... 0.023 eV per atom
Crystal system ... trigonal

---

Entry 4:
Crystalline YBeGaPt at its relaxed geometry, computed with GGA-PBE.

a = 6.3815 Å, b = 6.3815 Å, c = 6.3815 Å
α = 90.00°, β = 90.00°, γ = 90.00°
Space group F-43m (No. 216)
Symmetry-distinct sites (fractional):
Y 0.0000 0.0000 0.0000 x4
Be 0.2500 0.2500 0.2500 x4
Ga 0.2500 0.2500 0.7500 x4
Pt 0.0000 0.0000 0.5000 x4

Computed properties:
Final energy ... -5.356 eV/atom
Distance to the lowest polymorph of the same formula ... 0.000 eV per atom
Crystal system ... cubic

---

Entry 5:
Crystalline Rb2Ir at its relaxed geometry, computed with GGA-PBE.

a = 14.2998 Å, b = 14.2998 Å, c = 14.2998 Å
α = 90.00°, β = 90.00°, γ = 90.00°
Space group Fd-3m (No. 227, origin choice 2)
Symmetry-distinct sites (fractional):
Rb 0.0000 0.0000 0.0000 x16
Ir 0.1250 0.1250 0.1250 x8

Computed properties:
Final energy ... -2.334 eV/atom
Distance to the lowest polymorph of the same formula ... 0.239 eV per atom
Crystal system ... cubic

---

Entry 6:
Crystalline NiAgGe2 at its relaxed geometry, computed with GGA-PBE.

a = 6.3892 Å, b = 6.3892 Å, c = 6.3892 Å
α = 90.00°, β = 90.00°, γ = 90.00°
Space group F-43m (No. 216)
Symmetry-distinct sites (fractional):
Ni 0.0000 0.0000 0.0000 x4
Ag 0.2500 0.2500 0.7500 x4
Ge 0.0000 0.0000 0.5000 x4
Ge 0.2500 0.2500 0.2500 x4

Computed properties:
Final energy ... -4.100 eV/atom
Crystal system ... cubic

---

Entry 7:
Crystalline Al2Ni at its relaxed geometry, computed with GGA-PBE.

a = 9.1704 Å, b = 9.1704 Å, c = 4.8165 Å
α = 90.00°, β = 90.00°, γ = 90.00°
Space group P4_2/mnm (No. 136)
Symmetry-distinct sites (fractional):
Al 0.0406 0.3713 0.0000 x8
Al 0.1014 0.1014 0.0000 x4
Al 0.1775 0.8225 0.2501 x8
Ni 0.0000 0.0000 0.5000 x2
Ni 0.0694 0.2695 0.5000 x8

Computed properties:
Final energy ... -4.677 eV/atom
Crystal system ... tetragonal

---

Entry 8:
Crystalline LaFeCuSi2 at its relaxed geometry, computed with GGA-PBE.

a = 4.1140 Å, b = 4.1140 Å, c = 9.9436 Å
α = 90.00°, β = 90.00°, γ = 90.00°
Space group I-4m2 (No. 119)
Symmetry-distinct sites (fractional):
La 0.0000 0.0000 0.0000 x2
Fe 0.0000 0.5000 0.2500 x2
Cu 0.0000 0.5000 0.7500 x2
Si 0.0000 0.0000 0.3727 x4

Computed properties:
Final energy ... -6.092 eV/atom
Crystal system ... tetragonal

---

Entry 9:
Crystalline AcFe at its relaxed geometry, computed with GGA-PBE.

a = 4.1586 Å, b = 3.9995 Å, c = 6.6027 Å
α = 90.00°, β = 90.00°, γ = 90.00°
Space group Pmma (No. 51)
Symmetry-distinct sites (fractional):
Ac 0.2500 0.0000 0.2439 x2
Fe 0.2500 0.5000 0.5861 x2

Computed properties:
Energy of formation from the pure elements ... 0.62 eV per formula unit
Final energy ... -5.900 eV/atom
Crystal system ... orthorhombic

---

Entry 10:
Crystalline RbLuAlSe3 at its relaxed geometry, computed with GGA-PBE.

a = 4.3111 Å, b = 15.2438 Å, c = 10.8026 Å
α = 90.00°, β = 90.00°, γ = 90.00°
Space group Cmcm (No. 63)
Symmetry-distinct sites (fractional):
Rb 0.0000 0.2426 0.2500 x4
Lu 0.0000 0.5000 0.0000 x4
Al 0.0000 0.0280 0.7500 x4
Se 0.0000 0.1196 0.5647 x8
Se 0.0000 0.4438 0.7500 x4

Computed properties:
Final energy ... -4.511 eV/atom
Crystal system ... orthorhombic

---

Entry 11:
Crystalline NdSmAlCo2 at its relaxed geometry, computed with GGA-PBE.

a = 4.0363 Å, b = 3.8273 Å, c = 13.2942 Å
α = 90.00°, β = 90.00°, γ = 90.00°
Space group Amm2 (No. 38)
Symmetry-distinct sites (fractional):
Nd 0.0000 0.0000 0.0000 x2
Sm 0.0000 0.0000 0.2644 x2
Al 0.5000 0.0000 0.6338 x2
Co 0.5000 0.0000 0.4278 x2
Co 0.5000 0.0000 0.8332 x2

Computed properties:
Final energy ... -5.700 eV/atom
Crystal system ... orthorhombic

---

Entry 12:
Crystalline NdIn3Pt at its relaxed geometry, computed with GGA-PBE.

a = 4.5981 Å, b = 4.5981 Å, c = 11.7217 Å
α = 90.00°, β = 90.00°, γ = 90.00°
Space group I4mm (No. 107)
Symmetry-distinct sites (fractional):
Nd 0.0000 0.0000 0.0000 x2
In 0.0000 0.0000 0.4082 x2
In 0.0000 0.5000 0.2460 x4
Pt 0.0000 0.0000 0.6283 x2

Computed properties:
Final energy ... -4.332 eV/atom
Crystal system ... tetragonal

---

- Which of these has the highest final energy?
  Rb2Ir